The following is a DFT calculation (PBE-GGA) of a relaxed Ta3NbAl4 crystal.

```
16
Lattice="9.451 0.000 0.000 0.000 5.003 0.000 0.000 0.000 5.768" Properties=species:S:1:pos:R:3 pbc="T T T"
Ta 0.000 0.854 0.000
Ta 2.328 2.414 2.916
Ta 2.397 2.589 0.032
Ta 4.726 4.148 2.884
Ta 7.054 2.589 0.032
Ta 7.123 2.414 2.916
Nb 0.000 3.260 4.353
Nb 4.726 1.743 1.469
Al 0.000 0.726 2.927
Al 0.000 3.361 1.486
Al 2.347 4.989 4.353
Al 2.378 0.013 1.469
Al 4.726 1.642 4.370
Al 4.726 4.277 0.043
Al 7.073 0.013 1.469
Al 7.104 4.989 4.353
```

Computed properties:
The density of states at the Fermi level is 10.87 states/eV/cell. The calculation puts the total energy at -123.598 eV per cell. Its volume is 273 Å³ per cell. Its spin magnetization is 0.0 μB/f.u.